First-principles (PBE+U) data for a geometry-optimized Cr3CuAg3O8 structure, as listed in Alexandria via LeMat-Bulk.

Unit cell a=6.0250 b=6.0250 c=7.1829 alpha=115.34 beta=115.34 gamma=60.39
Fractional coordinates of all 15 atoms:
Cr1 0.0000 0.0000 0.0000
Cr2 0.0000 0.5000 0.0000
Cr3 0.5000 0.0000 0.0000
Cu1 0.5000 0.5000 0.0000
Ag1 0.0000 0.0000 0.5000
Ag2 0.0000 0.5000 0.5000
Ag3 0.5000 0.0000 0.5000
O1 0.1054 0.6143 0.8350
O2 0.1105 0.1105 0.8367
O3 0.3857 0.8946 0.1650
O4 0.3908 0.3908 0.1496
O5 0.6092 0.6092 0.8504
O6 0.6143 0.1054 0.8350
O7 0.8895 0.8895 0.1633
O8 0.8946 0.3857 0.1650

- E: -91.09 eV for the cell shown